Record 1
# CuAg (PBE, optimized geometry)
# E   -3.186 eV per atom
# Formation energy   85 meV/atom
# ρ   9.5 g/cm3
data_CuAg
_space_group_name_H-M_alt 'C 1 m 1'
_space_group_IT_number 8
_cell_length_a 9.357
_cell_length_b 2.850
_cell_length_c 11.302
_cell_angle_alpha 90.00
_cell_angle_beta 97.80
_cell_angle_gamma 90.00
loop_
_space_group_symop_operation_xyz
'x,y,z'
'x,-y,z'
'x+1/2,y+1/2,z'
'x+1/2,-y+1/2,z'
loop_
_atom_site_label
_atom_site_type_symbol
_atom_site_fract_x
_atom_site_fract_y
_atom_site_fract_z
_atom_site_occupancy
Cu1 Cu 0.000 0.000 0.000 1
Cu2 Cu 0.001 0.500 0.477 1
Cu3 Cu 0.122 0.500 0.169 1
Cu4 Cu 0.311 0.000 0.084 1
Cu5 Cu 0.329 0.500 0.578 1
Ag1 Ag 0.120 0.000 0.666 1
Ag2 Ag 0.200 0.500 0.897 1
Ag3 Ag 0.209 0.000 0.386 1
Ag4 Ag 0.412 0.000 0.786 1
Ag5 Ag 0.420 0.500 0.272 1

Record 2
# Cu3Ag7 (PBE, optimized geometry)
# E   -3.015 eV per atom
# Formation energy   78 meV/atom
# ρ   9.7 g/cm3
# Energy above the lowest structure with this stoichiometry   49 meV per atom
data_Cu3Ag7
_space_group_name_H-M_alt 'P 1 2/m 1'
_space_group_IT_number 10
_cell_length_a 4.890
_cell_length_b 2.881
_cell_length_c 11.612
_cell_angle_alpha 90.00
_cell_angle_beta 96.35
_cell_angle_gamma 90.00
loop_
_space_group_symop_operation_xyz
'x,y,z'
'-x,-y,-z'
'-x,y,-z'
'x,-y,z'
loop_
_atom_site_label
_atom_site_type_symbol
_atom_site_fract_x
_atom_site_fract_y
_atom_site_fract_z
_atom_site_occupancy
Cu1 Cu 0.000 0.000 0.000 1
Cu2 Cu 0.396 0.000 0.193 1
Ag1 Ag 0.095 0.500 0.811 1
Ag2 Ag 0.204 0.000 0.604 1
Ag3 Ag 0.301 0.500 0.391 1
Ag4 Ag 0.500 0.500 0.000 1

Record 3
# Cu2Ag5 (PBE, optimized geometry)
# E   -3.003 eV per atom
# Formation energy   76 meV/atom
# ρ   9.7 g/cm3
# Energy above the lowest structure with this stoichiometry   41 meV per atom
data_Cu2Ag5
_space_group_name_H-M_alt 'I m m m'
_space_group_IT_number 71
_space_group_name_Hall '-I 2 2'
_cell_length_a 2.872
_cell_length_b 3.922
_cell_length_c 20.187
_cell_angle_alpha 90.00
_cell_angle_beta 90.00
_cell_angle_gamma 90.00
loop_
_atom_site_label
_atom_site_type_symbol
_atom_site_fract_x
_atom_site_fract_y
_atom_site_fract_z
_atom_site_occupancy
Cu1 Cu 0.000 0.000 0.144 1
Ag1 Ag 0.000 0.000 0.000 1
Ag2 Ag 0.000 0.000 0.287 1
Ag3 Ag 0.000 0.000 0.424 1

Record 4
# Cu4Ag3 (PBE, optimized geometry)
# E   -3.236 eV per atom
# Formation energy   98 meV/atom
# ρ   9.5 g/cm3
# Energy above the lowest structure with this stoichiometry   50 meV per atom
data_Cu4Ag3
_space_group_name_H-M_alt 'I m m m'
_space_group_IT_number 71
_space_group_name_Hall '-I 2 2'
_cell_length_a 2.790
_cell_length_b 3.704
_cell_length_c 19.601
_cell_angle_alpha 90.00
_cell_angle_beta 90.00
_cell_angle_gamma 90.00
loop_
_atom_site_label
_atom_site_type_symbol
_atom_site_fract_x
_atom_site_fract_y
_atom_site_fract_z
_atom_site_occupancy
Cu1 Cu 0.000 0.000 0.073 1
Cu2 Cu 0.000 0.000 0.218 1
Ag1 Ag 0.000 0.000 0.354 1
Ag2 Ag 0.000 0.000 0.500 1

Record 5
# Cu3Ag2 (PBE, optimized geometry)
# E   -3.262 eV per atom
# Formation energy   98 meV/atom
# ρ   9.4 g/cm3
# Energy above the lowest structure with this stoichiometry   56 meV per atom
data_Cu3Ag2
_space_group_name_H-M_alt 'C 1 m 1'
_space_group_IT_number 8
_cell_length_a 9.054
_cell_length_b 2.785
_cell_length_c 11.552
_cell_angle_alpha 90.00
_cell_angle_beta 99.77
_cell_angle_gamma 90.00
loop_
_space_group_symop_operation_xyz
'x,y,z'
'x,-y,z'
'x+1/2,y+1/2,z'
'x+1/2,-y+1/2,z'
loop_
_atom_site_label
_atom_site_type_symbol
_atom_site_fract_x
_atom_site_fract_y
_atom_site_fract_z
_atom_site_occupancy
Cu1 Cu 0.000 0.000 0.000 1
Cu2 Cu 0.014 0.500 0.479 1
Cu3 Cu 0.109 0.500 0.180 1
Cu4 Cu 0.195 0.000 0.375 1
Cu5 Cu 0.307 0.000 0.093 1
Cu6 Cu 0.408 0.000 0.802 1
Ag1 Ag 0.101 0.000 0.689 1
Ag2 Ag 0.205 0.500 0.901 1
Ag3 Ag 0.308 0.500 0.575 1
Ag4 Ag 0.404 0.500 0.285 1

Record 6
# Cu3Ag2 (PBE, optimized geometry)
# E   -3.261 eV per atom
# Formation energy   99 meV/atom
# ρ   9.4 g/cm3
# Energy above the lowest structure with this stoichiometry   57 meV per atom
data_Cu3Ag2
_space_group_name_H-M_alt 'P 1 21/m 1'
_space_group_IT_number 11
_cell_length_a 6.647
_cell_length_b 2.777
_cell_length_c 7.973
_cell_angle_alpha 90.00
_cell_angle_beta 103.12
_cell_angle_gamma 90.00
loop_
_space_group_symop_operation_xyz
'x,y,z'
'-x,-y,-z'
'-x,y+1/2,-z'
'x,-y+1/2,z'
loop_
_atom_site_label
_atom_site_type_symbol
_atom_site_fract_x
_atom_site_fract_y
_atom_site_fract_z
_atom_site_occupancy
Cu1 Cu 0.057 0.250 0.136 1
Cu2 Cu 0.135 0.750 0.445 1
Cu3 Cu 0.348 0.750 0.045 1
Ag1 Ag 0.239 0.250 0.753 1
Ag2 Ag 0.432 0.250 0.343 1

Record 7
# Cu4Ag5 (PBE, optimized geometry)
# E   -3.130 eV per atom
# Formation energy   91 meV/atom
# ρ   9.5 g/cm3
# Energy above the lowest structure with this stoichiometry   53 meV per atom
data_Cu4Ag5
_space_group_name_H-M_alt 'P -3 m 1'
_space_group_IT_number 164
_space_group_name_Hall '-P 3 2"'
_cell_length_a 2.8140
_cell_length_b 2.8140
_cell_length_c 20.1978
_cell_angle_alpha 90.00
_cell_angle_beta 90.00
_cell_angle_gamma 120.00
loop_
_atom_site_label
_atom_site_type_symbol
_atom_site_fract_x
_atom_site_fract_y
_atom_site_fract_z
_atom_site_occupancy
Cu1 Cu 0.0000 0.0000 0.1728 1
Cu2 Cu 0.3333 0.6667 0.7317 1
Ag1 Ag 0.0000 0.0000 0.5000 1
Ag2 Ag 0.3333 0.6667 0.0623 1
Ag3 Ag 0.3333 0.6667 0.3777 1

Record 8
# CuAg (PBE, optimized geometry)
# E   -3.168 eV per atom
# Formation energy   102 meV/atom
# ρ   9.5 g/cm3
data_CuAg
_space_group_name_H-M_alt 'R -3 m'
_space_group_IT_number 166
_space_group_name_Hall '-R 3 2"'
_cell_length_a 2.8132
_cell_length_b 2.8132
_cell_length_c 65.7141
_cell_angle_alpha 90.00
_cell_angle_beta 90.00
_cell_angle_gamma 120.00
loop_
_atom_site_label
_atom_site_type_symbol
_atom_site_fract_x
_atom_site_fract_y
_atom_site_fract_z
_atom_site_occupancy
Cu1 Cu 0.0000 0.0000 0.0000 1
Cu2 Cu 0.0000 0.0000 0.1999 1
Cu3 Cu 0.0000 0.0000 0.3040 1
Ag1 Ag 0.0000 0.0000 0.1003 1
Ag2 Ag 0.0000 0.0000 0.3962 1
Ag3 Ag 0.0000 0.0000 0.5000 1

What did the third record say?
# Cu2Ag5 (PBE, optimized geometry)
# E   -3.003 eV per atom
# Formation energy   76 meV/atom
# ρ   9.7 g/cm3
# Energy above the lowest structure with this stoichiometry   41 meV per atom
data_Cu2Ag5
_space_group_name_H-M_alt 'I m m m'
_space_group_IT_number 71
_space_group_name_Hall '-I 2 2'
_cell_length_a 2.872
_cell_length_b 3.922
_cell_length_c 20.187
_cell_angle_alpha 90.00
_cell_angle_beta 90.00
_cell_angle_gamma 90.00
loop_
_atom_site_label
_atom_site_type_symbol
_atom_site_fract_x
_atom_site_fract_y
_atom_site_fract_z
_atom_site_occupancy
Cu1 Cu 0.000 0.000 0.144 1
Ag1 Ag 0.000 0.000 0.000 1
Ag2 Ag 0.000 0.000 0.287 1
Ag3 Ag 0.000 0.000 0.424 1

Among the records above, which one has the highest formation energy?
number 8

Please write out number 5 again, unchanged.
# Cu3Ag2 (PBE, optimized geometry)
# E   -3.262 eV per atom
# Formation energy   98 meV/atom
# ρ   9.4 g/cm3
# Energy above the lowest structure with this stoichiometry   56 meV per atom
data_Cu3Ag2
_space_group_name_H-M_alt 'C 1 m 1'
_space_group_IT_number 8
_cell_length_a 9.054
_cell_length_b 2.785
_cell_length_c 11.552
_cell_angle_alpha 90.00
_cell_angle_beta 99.77
_cell_angle_gamma 90.00
loop_
_space_group_symop_operation_xyz
'x,y,z'
'x,-y,z'
'x+1/2,y+1/2,z'
'x+1/2,-y+1/2,z'
loop_
_atom_site_label
_atom_site_type_symbol
_atom_site_fract_x
_atom_site_fract_y
_atom_site_fract_z
_atom_site_occupancy
Cu1 Cu 0.000 0.000 0.000 1
Cu2 Cu 0.014 0.500 0.479 1
Cu3 Cu 0.109 0.500 0.180 1
Cu4 Cu 0.195 0.000 0.375 1
Cu5 Cu 0.307 0.000 0.093 1
Cu6 Cu 0.408 0.000 0.802 1
Ag1 Ag 0.101 0.000 0.689 1
Ag2 Ag 0.205 0.500 0.901 1
Ag3 Ag 0.308 0.500 0.575 1
Ag4 Ag 0.404 0.500 0.285 1